Entry 1:
Below is a relaxed ZrInN2F crystal, with properties calculated at the PBE level.

Cell lengths 4.3235, 4.3235, 4.1452 Å; angles 90.00, 90.00, 90.00 degrees
Last column: nearest neighbours and their distance in Å.
Fractional coordinates of all 5 atoms:
N1 0.0000 0.5000 0.0000  2 Zr 2.16
N2 0.5000 0.0000 0.0000  2 Zr 2.16
F1 0.0000 0.0000 0.5000  2 Zr 2.07
Zr1 0.0000 0.0000 0.0000  2 F 2.07, 4 N 2.16
In1 0.5000 0.5000 0.5000  8 N 2.99, 4 F 3.06

formation energy without anion corrections: -691 meV/atom
volume: 77 Å³ per cell
DOS(E_F): 0.504 states/eV per atom
space-group type: P4/mmm, No. 123



Entry 2:
Below is a relaxed ZrInNF2 crystal, with properties calculated at the PBE level.

Cell lengths 4.2275, 4.2275, 4.2599 Å; angles 90.00, 90.00, 90.00 degrees
Last column: nearest neighbours and their distance in Å.
Fractional coordinates of all 5 atoms:
N1 0.0000 0.0000 0.5000  2 In 2.13
F1 0.0000 0.5000 0.0000  2 In 2.11
F2 0.5000 0.0000 0.0000  2 In 2.11
Zr1 0.5000 0.5000 0.5000  4 N 2.99, 8 F 3.00
In1 0.0000 0.0000 0.0000  4 F 2.11, 2 N 2.13

formation energy without anion corrections: -677 meV/atom
volume: 76 Å³ per cell
ΔE to the lowest computed polymorph: 5.49 eV per formula unit
DOS(E_F): 0.824 states/eV per atom
space-group type: P4/mmm, No. 123